Run w
A plane-wave DFT calculation with GGA-PBE was carried out for a relaxed structure of NbCoPd2.

Values from the calculation:
Theoretical density, g/cm³: 7.14

a = 6.7087 Å, b = 6.7087 Å, c = 6.7087 Å
α = 130.70°, β = 130.70°, γ = 72.29°
Closest atoms and distances in Å follow each position.
Sites, in units of the cell vectors:
Nb1 0.0000 0.0000 0.0000  4 Pd 2.50
Nb2 0.7500 0.2500 0.5000  4 Pd 2.50
Co1 0.2500 0.7500 0.5000  4 Pd 2.30
Co2 0.5000 0.5000 0.0000  4 Pd 2.30
Pd1 0.1554 0.6250 0.0304  2 Co 2.30, 2 Nb 2.50
Pd2 0.3750 0.4054 0.5304  2 Co 2.30, 2 Nb 2.50
Pd3 0.5946 0.1250 0.9696  2 Co 2.30, 2 Nb 2.50
Pd4 0.8750 0.8446 0.4696  2 Co 2.30, 2 Nb 2.50

---

Run x
A plane-wave DFT calculation with GGA-PBE was carried out for a relaxed structure of NbCoPd2.

Values from the calculation:
Theoretical density, g/cm³: 9.97

a = 4.4118 Å, b = 4.4118 Å, c = 4.4118 Å
α = 60.00°, β = 60.00°, γ = 60.00°
Closest atoms and distances in Å follow each position.
Sites, in units of the cell vectors:
Nb1 0.0000 0.0000 0.0000  8 Pd 2.70
Co1 0.5000 0.5000 0.5000  8 Pd 2.70
Pd1 0.2500 0.2500 0.2500  4 Co 2.70, 4 Nb 2.70
Pd2 0.7500 0.7500 0.7500  4 Co 2.70, 4 Nb 2.70

---

Winner for stability: run x